1.
This record from Alexandria via LeMat-Bulk describes a relaxed structure of TaInTcRh. The functional is PBE.

Cell and atoms, written as POSCAR:
```
TaInTcRh
1.0
-1.011 -2.663 3.528
2.928 -0.419 3.436
-0.956 1.843 4.031
Tc Ta In Rh
1 1 1 1
Cartesian
0.481 -0.620 5.498
0.240 -0.310 2.749
0.721 -0.929 8.246
0.000 0.000 0.000
```

DFT formation energy, eV/atom: -0.3094



2.
This record from Alexandria via LeMat-Bulk describes a relaxed structure of TaIn2TeRh. The functional is PBE.

Cell and atoms, written as POSCAR:
```
TaIn2TeRh
1.0
-1.722 -2.434 -4.644
3.805 -2.778 0.044
-2.761 -3.735 2.981
Ta Te Rh In
1 1 1 2
Cartesian
0.000 0.000 0.000
-0.339 -4.473 -0.809
1.902 -1.389 0.022
-1.381 -1.867 1.490
-0.861 -1.217 -2.322
```

Calculated total energy, eV/atom: -4.77



3.
This record from Alexandria via LeMat-Bulk describes a relaxed structure of Tb4InRh2. The functional is PBE.

Cell and atoms, written as POSCAR:
```
Tb4InRh2
1.0
-6.198 -6.016 -0.039
7.531 -1.446 3.976
-2.711 5.748 2.710
Tb Rh In
8 4 2
Cartesian
-1.147 -5.504 2.484
-2.169 -2.524 3.948
-2.357 2.536 2.501
-0.393 0.969 5.194
4.393 -2.485 4.506
-4.889 -3.851 2.130
1.043 -1.469 2.896
-6.100 -0.518 2.559
-2.390 -3.630 0.935
-1.614 -0.055 2.918
0.608 -3.842 4.424
0.969 3.568 4.510
-0.313 0.226 0.393
2.640 0.566 4.775
```

DFT formation energy, eV/atom: -0.6048



4.
This record from Alexandria via LeMat-Bulk describes a relaxed structure of Tb6In2Rh. The functional is PBE.

Cell and atoms, written as POSCAR:
```
Tb6In2Rh
1.0
-1.719 -0.668 -3.339
7.675 0.599 -4.072
-2.766 -7.701 2.966
Tb In Rh
6 2 1
Cartesian
1.078 -3.137 -2.106
3.779 0.028 -4.130
7.000 -1.269 -3.351
3.715 -5.380 -0.836
5.141 -4.396 -3.946
1.870 0.146 -0.992
0.713 -4.931 0.620
4.194 -2.171 -1.725
-0.851 -0.334 -1.674
```

ΔE to the lowest computed polymorph, kJ per mole of atoms: 0.0
DFT formation energy, eV/atom: -0.4392



5.
This record from Alexandria via LeMat-Bulk describes a relaxed structure of Tb5InRh. The functional is PBE.

Cell and atoms, written as POSCAR:
```
Tb5InRh
1.0
-5.681 -0.945 1.438
0.363 -5.408 2.418
-0.058 2.464 11.578
Tb In Rh
10 2 2
Cartesian
0.289 -3.538 11.097
-2.376 0.105 5.148
-1.046 -1.723 8.138
-2.391 -2.387 13.404
-0.346 -0.184 11.271
-5.665 -0.351 4.337
-5.030 -3.705 4.163
-3.000 -3.994 10.286
-4.330 -2.166 7.296
-2.985 -1.502 2.029
-2.081 -2.998 4.918
-3.295 -0.891 10.515
0.000 0.000 0.000
-0.029 1.232 5.789
```

DFT formation energy, eV/atom: -0.2796



6.
This record from Alexandria via LeMat-Bulk describes a relaxed structure of Tb3InRh. The functional is PBE.

Cell and atoms, written as POSCAR:
```
Tb3InRh
1.0
5.294 0.000 1.478
2.222 5.747 2.263
0.290 0.173 9.179
Tb In Rh
6 2 2
Cartesian
0.829 0.154 7.248
3.026 2.009 9.601
4.780 3.912 3.320
6.976 5.766 5.673
6.123 3.897 8.730
1.683 2.024 4.191
3.905 1.459 6.453
3.901 4.461 6.467
5.579 2.067 10.677
2.227 3.854 2.243
```

ΔE to the lowest computed polymorph, kJ per mole of atoms: 0.9
DFT formation energy, eV/atom: -0.4995



7.
This record from Alexandria via LeMat-Bulk describes a relaxed structure of TbInRh4. The functional is PBE.

Cell and atoms, written as POSCAR:
```
TbInRh4
1.0
5.289 0.000 0.000
2.645 4.580 0.000
2.645 1.527 4.318
Rh Tb In
4 1 1
Cartesian
5.289 1.519 2.702
5.289 3.054 0.532
6.618 3.821 2.702
3.960 3.821 2.702
2.645 1.527 1.080
0.000 0.000 0.000
```

DFT formation energy, eV/atom: -0.4873



8.
This record from Alexandria via LeMat-Bulk describes a relaxed structure of Tb6InRh. The functional is PBE.

Cell and atoms, written as POSCAR:
```
Tb6InRh
1.0
6.947 0.016 -0.026
3.472 6.079 -0.011
3.430 2.017 6.214
Tb In Rh
6 1 1
Cartesian
9.558 4.037 1.498
8.250 6.337 4.655
4.292 4.075 4.679
8.173 1.729 4.654
5.600 1.775 1.522
5.677 6.383 1.523
6.925 4.056 3.088
0.000 0.000 0.000
```

DFT formation energy, eV/atom: -0.0978